# AlSeO2F

AlSeO2F after structural relaxation (GGA-PBEsol, Alexandria).

Unit cell a=3.5722 b=3.8049 c=3.8049 alpha=90.00 beta=90.00 gamma=90.00
Positions (direct):
Se  0.5000  0.5000  0.5000
Al  0.0000  0.0000  0.0000
O  0.0000  0.0000  0.5000
F  0.5000  0.0000  0.0000
O  0.0000  0.5000  0.0000

Output
**Electronic total energy**: -5.5922 eV per atom
**Symmetry**: No. 123
**E_form (uncorrected)**: -1.5186 eV per atom